This record from the Alexandria database describes a geometry-optimized Ag2AsAu2 structure. The functional is PBE.

Cell lengths 8.141, 8.141, 2.917 Å; angles 90.00, 90.00, 90.00 degrees
Fractional positions:
Ag 0.127 0.373 0.000
Ag 0.373 0.873 0.000
Ag 0.627 0.127 0.000
Ag 0.873 0.627 0.000
As 0.000 0.000 0.000
As 0.500 0.500 0.000
Au 0.169 0.669 0.500
Au 0.331 0.169 0.500
Au 0.669 0.831 0.500
Au 0.831 0.331 0.500

Values from the calculation:
* calculated formation energy: 0.185 eV/atom
* SG: P4/mbm (127)
* total magnetic moment: 0.00 μB per cell
* energy above the most stable polymorph in this dataset: 0.022 eV per atom